(1)
Computed, not measured: a relaxed LiPu2Ga3Ni4 crystal at the PBE level of DFT.

extended XYZ file:
```
10
Lattice="3.828 0.000 0.000 0.000 3.828 0.000 0.000 0.000 11.126" Properties=species:S:1:pos:R:3 pbc="T T T"
Pu 1.914 0.000 2.869
Pu 0.000 1.914 8.257
Ga 1.914 0.000 9.694
Ga 0.000 1.914 1.433
Ga 0.000 0.000 5.563
Ni 1.914 1.914 0.000
Ni 0.000 1.914 3.887
Ni 0.000 0.000 0.000
Ni 1.914 0.000 7.240
Li 1.914 1.914 5.563
```


(2)
Computed, not measured: a relaxed BaMnTl4 crystal at the PBE level of DFT.

extended XYZ file:
```
6
Lattice="-0.172 -6.445 -0.525 -4.731 -2.845 -3.372 1.315 -2.819 -5.671" Properties=species:S:1:pos:R:3 pbc="T T T"
Tl -3.722 -5.963 -5.277
Tl -1.430 -7.774 -3.845
Tl -1.343 -4.532 -3.581
Tl -0.681 -5.950 -6.433
Mn 0.000 0.000 0.000
Ba -2.691 -9.082 -7.176
```


So what do the calculations give for energy of formation from the pure elements? Going down the list: -0.3055, 0.2168 eV/atom.
So what do the calculations give for magnetic moment? Going down the list: 10.722, 4.339 μB per cell.